# 1
Below is an optimized crystal structure of NdCO4, with properties calculated at the PBE level.

Structure (POSCAR):
```
NdCO4
1.0
7.467 0.000 0.000
0.000 4.988 0.000
0.000 0.000 8.216
Nd C O
4 4 16
direct
0.146 0.250 0.171
0.354 0.750 0.671
0.646 0.250 0.329
0.854 0.750 0.829
0.193 0.250 0.814
0.307 0.750 0.314
0.693 0.250 0.686
0.807 0.750 0.186
0.040 0.750 0.594
0.145 0.025 0.880
0.145 0.475 0.880
0.204 0.750 0.189
0.296 0.250 0.689
0.355 0.525 0.380
0.355 0.975 0.380
0.460 0.250 0.094
0.540 0.750 0.906
0.645 0.025 0.620
0.645 0.475 0.620
0.704 0.750 0.311
0.796 0.250 0.811
0.855 0.525 0.120
0.855 0.975 0.120
0.960 0.250 0.406
```

energy relative to the elements, uncorrected	-1.9774	eV/atom
space group	No. 62
N(E_F)	0.3843	states/eV/atom
VASP energy	-182.8	eV for the cell shown
crystal system	orthorhombic

***

# 2
Below is an optimized crystal structure of SrTbDy2, with properties calculated at the PBE level.

Structure (POSCAR):
```
SrTbDy2
1.0
3.604 0.000 0.000
-1.802 3.122 0.000
0.000 0.000 38.323
Sr Tb Dy
3 3 6
direct
0.000 0.000 0.000
0.333 0.667 0.667
0.667 0.333 0.333
0.000 0.000 0.500
0.333 0.667 0.167
0.667 0.333 0.833
0.000 0.000 0.093
0.000 0.000 0.907
0.333 0.667 0.574
0.333 0.667 0.760
0.667 0.333 0.240
0.667 0.333 0.426
```

ΔH_f (0 K)	0.22	eV per atom
space group	No. 166
N(E_F)	1.3958	states/eV/atom
VASP energy	-43.9	eV for the cell shown
crystal system	trigonal